Density functional theory data (PBE with a Hubbard U) for a relaxed CrHIO2 crystal.

Properties
E above lowest polymorph	0	meV/atom

a b c (Å): 3.618 3.618 7.066
angles (deg): 90.00 90.00 90.00
Site moments in Bohr magnetons follow the coordinates.
Atoms (fractional coordinates):
I (0.000, 0.000, 0.500)  0.04
O (0.000, 0.500, 0.000)  -0.36
O (0.500, 0.000, 0.000)  -0.36
Cr (0.000, 0.000, 0.000)  2.56
H (0.500, 0.500, 0.500)  0.04